Entry 1:
{"formula": "CaGdS2", "functional": "PBE-GGA", "state": "relaxed", "lattice_angstrom": [[3.976, 0.000, 0.000], [-1.988, 3.444, 0.000], [0.000, 0.000, 19.747]], "species": ["Ca", "Ca", "Ca", "Gd", "Gd", "Gd", "S", "S", "S", "S", "S", "S"], "frac_coords": [[0.000, 0.000, 0.000], [0.333, 0.667, 0.667], [0.667, 0.333, 0.333], [0.000, 0.000, 0.500], [0.333, 0.667, 0.167], [0.667, 0.333, 0.833], [0.000, 0.000, 0.249], [0.000, 0.000, 0.751], [0.333, 0.667, 0.417], [0.333, 0.667, 0.916], [0.667, 0.333, 0.084], [0.667, 0.333, 0.583]], "e_form_raw_ev_per_fu": -8.31, "de_polymorph_mev_per_atom": 7, "final_energy_ev_per_cell": -97.94, "spacegroup": "No. 166"}

Entry 2:
{"formula": "Ca2GdSb", "functional": "PBE-GGA", "state": "relaxed", "lattice_angstrom": [[4.867, 0.000, 0.000], [0.000, 4.867, 0.000], [0.000, 0.000, 5.095]], "species": ["Ca", "Ca", "Gd", "Sb"], "frac_coords": [[0.000, 0.500, 0.000], [0.500, 0.000, 0.000], [0.000, 0.000, 0.500], [0.500, 0.500, 0.500]], "e_form_raw_ev_per_fu": -1.82, "final_energy_ev_per_cell": -24.02, "spacegroup": "No. 123"}

Entry 3:
{"formula": "CaGd2Sb", "functional": "PBE-GGA", "state": "relaxed", "lattice_angstrom": [[4.846, 0.000, 0.000], [0.000, 4.846, 0.000], [0.000, 0.000, 4.964]], "species": ["Ca", "Gd", "Gd", "Sb"], "frac_coords": [[0.000, 0.000, 0.000], [0.000, 0.500, 0.500], [0.500, 0.000, 0.500], [0.500, 0.500, 0.000]], "e_form_raw_ev_per_fu": -1.89, "final_energy_ev_per_cell": -36.17, "spacegroup": "No. 123"}